The following is a DFT calculation (PBE) of Ta2SnMo after structural relaxation.

```
Ta2SnMo
1.0
4.133 0.000 0.000
0.000 4.133 0.000
0.000 0.000 4.244
Ta Sn Mo
2 1 1
Cartesian
0.000 2.067 0.000
2.067 0.000 0.000
0.000 0.000 2.122
2.067 2.067 2.122
```

Summary:
* total moment: 0.00 μB/f.u.
* crystal system: tetragonal
* E_tot: -38.36 eV per formula unit
* calculated formation energy: 44 meV/atom
* SG: P4/mmm (123)